Material: Tb3CeCo8
Method: DFT, PBE
State: relaxed

```
data_Tb3CeCo8
_space_group_name_H-M_alt 'R 3 m'
_space_group_IT_number 160
_space_group_name_Hall 'R 3 -2"'
_cell_length_a 5.0661
_cell_length_b 5.0661
_cell_length_c 24.8359
_cell_angle_alpha 90.00
_cell_angle_beta 90.00
_cell_angle_gamma 120.00
loop_
_atom_site_label
_atom_site_fract_x
_atom_site_fract_y
_atom_site_fract_z
Tb1 0.0000 0.0000 0.0000
Tb2 0.0000 0.0000 0.1252
Tb3 0.0000 0.0000 0.5007
Ce1 0.0000 0.0000 0.6256
Co1 0.0000 0.0000 0.3125
Co2 0.0000 0.0000 0.8125
Co3 0.0015 0.5008 0.0630
Co4 0.1670 0.3339 0.8958
```

## Properties
The value obtained for the calculated formation energy is -2.20 eV per formula unit. The value obtained for the total energy is -236.62 eV for the cell shown. For the density of states at the Fermi level, the calculation gives 46.45 states/eV/cell.

Material: Mg2Co2Tc
Method: DFT, PBE
State: relaxed

```
data_Mg2Co2Tc
_space_group_name_H-M_alt 'P 4/m b m'
_space_group_IT_number 127
_space_group_name_Hall '-P 4 2ab'
_cell_length_a 6.020
_cell_length_b 6.020
_cell_length_c 4.169
_cell_angle_alpha 90.00
_cell_angle_beta 90.00
_cell_angle_gamma 90.00
loop_
_atom_site_label
_atom_site_fract_x
_atom_site_fract_y
_atom_site_fract_z
Mg1 0.178 0.322 0.000
Co1 0.128 0.628 0.500
Tc1 0.000 0.000 0.500
```

## Properties
The value obtained for the calculated formation energy is 0.86 eV per formula unit. The value obtained for the total energy is -53.81 eV for the cell shown. For the density of states at the Fermi level, the calculation gives 8.46 states/eV/cell.

Material: NpFe2Ir
Method: DFT, PBE
State: relaxed

```
data_NpFe2Ir
_space_group_name_H-M_alt 'P 4/m m m'
_space_group_IT_number 123
_space_group_name_Hall '-P 4 2'
_cell_length_a 3.940
_cell_length_b 3.940
_cell_length_c 3.847
_cell_angle_alpha 90.00
_cell_angle_beta 90.00
_cell_angle_gamma 90.00
loop_
_atom_site_label
_atom_site_fract_x
_atom_site_fract_y
_atom_site_fract_z
Np1 0.000 0.000 0.000
Fe1 0.000 0.500 0.500
Ir1 0.500 0.500 0.000
```

## Properties
Its offset from the most stable computed form is 0 meV/atom. The value obtained for the calculated formation energy is -0.71 eV per formula unit. The value obtained for the total energy is -39.44 eV for the cell shown. For the density of states at the Fermi level, the calculation gives 3.65 states/eV/cell.

Material: LaTlIn
Method: DFT, PBE
State: relaxed

```
data_LaTlIn
_space_group_name_H-M_alt 'F -4 3 m'
_space_group_IT_number 216
_space_group_name_Hall 'F -4 2 3'
_cell_length_a 7.517
_cell_length_b 7.517
_cell_length_c 7.517
_cell_angle_alpha 90.00
_cell_angle_beta 90.00
_cell_angle_gamma 90.00
loop_
_atom_site_label
_atom_site_fract_x
_atom_site_fract_y
_atom_site_fract_z
La1 0.000 0.000 0.000
Tl1 0.250 0.250 0.750
In1 0.250 0.250 0.250
```

## Properties
Its offset from the most stable computed form is 353 meV/atom. The value obtained for the calculated formation energy is -0.18 eV per formula unit. The value obtained for the total energy is -40.86 eV for the cell shown. For the density of states at the Fermi level, the calculation gives 11.24 states/eV/cell.

Material: Cu3O2F2
Method: DFT, PBE
State: relaxed

```
data_Cu3O2F2
_space_group_name_H-M_alt 'C 1 2/m 1'
_space_group_IT_number 12
_cell_length_a 9.958
_cell_length_b 2.922
_cell_length_c 5.449
_cell_angle_alpha 90.00
_cell_angle_beta 91.90
_cell_angle_gamma 90.00
loop_
_space_group_symop_operation_xyz
'x,y,z'
'-x,-y,-z'
'-x,y,-z'
'x,-y,z'
'x+1/2,y+1/2,z'
'-x+1/2,-y+1/2,-z'
'-x+1/2,y+1/2,-z'
'x+1/2,-y+1/2,z'
loop_
_atom_site_label
_atom_site_fract_x
_atom_site_fract_y
_atom_site_fract_z
Cu1 0.000 0.000 0.000
Cu2 0.248 0.000 0.754
O1 0.129 0.500 0.959
F1 0.141 0.000 0.443
```

## Properties
Its offset from the most stable computed form is 43 meV/atom. The formation energy (no corrections) comes out at -0.906 eV per atom. The value obtained for the total energy is -64.59 eV for the cell shown. For the density of states at the Fermi level, the calculation gives 6.39 states/eV/cell.

Material: V2Cu2Tc
Method: DFT, PBE
State: relaxed

```
data_V2Cu2Tc
_space_group_name_H-M_alt 'I 4/m m m'
_space_group_IT_number 139
_space_group_name_Hall '-I 4 2'
_cell_length_a 3.360
_cell_length_b 3.360
_cell_length_c 12.607
_cell_angle_alpha 90.00
_cell_angle_beta 90.00
_cell_angle_gamma 90.00
loop_
_atom_site_label
_atom_site_fract_x
_atom_site_fract_y
_atom_site_fract_z
V1 0.000 0.000 0.087
Cu1 0.000 0.500 0.250
Tc1 0.000 0.000 0.500
```

## Properties
Its offset from the most stable computed form is 149 meV/atom. The value obtained for the calculated formation energy is 2.12 eV per formula unit. The value obtained for the total energy is -69.35 eV for the cell shown. For the density of states at the Fermi level, the calculation gives 8.46 states/eV/cell.

Material: Mn2TcTe
Method: DFT, PBE
State: relaxed

```
data_Mn2TcTe
_space_group_name_H-M_alt 'I -4 2 d'
_space_group_IT_number 122
_space_group_name_Hall 'I -4 2bw'
_cell_length_a 5.472
_cell_length_b 5.472
_cell_length_c 11.025
_cell_angle_alpha 90.00
_cell_angle_beta 90.00
_cell_angle_gamma 90.00
loop_
_atom_site_label
_atom_site_fract_x
_atom_site_fract_y
_atom_site_fract_z
Mn1 0.214 0.250 0.125
Tc1 0.000 0.000 0.000
Te1 0.000 0.000 0.500
```

## Properties
The formation energy (no corrections) comes out at 0.981 eV per atom. The value obtained for the total energy is -111.69 eV for the cell shown. For the density of states at the Fermi level, the calculation gives 14.39 states/eV/cell.

Material: K2ScBe2S4
Method: DFT, PBE
State: relaxed

```
data_K2ScBe2S4
_space_group_name_H-M_alt 'C 1 2/m 1'
_space_group_IT_number 12
_cell_length_a 14.103
_cell_length_b 3.645
_cell_length_c 7.525
_cell_angle_alpha 90.00
_cell_angle_beta 109.22
_cell_angle_gamma 90.00
loop_
_space_group_symop_operation_xyz
'x,y,z'
'-x,-y,-z'
'-x,y,-z'
'x,-y,z'
'x+1/2,y+1/2,z'
'-x+1/2,-y+1/2,-z'
'-x+1/2,y+1/2,-z'
'x+1/2,-y+1/2,z'
loop_
_atom_site_label
_atom_site_fract_x
_atom_site_fract_y
_atom_site_fract_z
K1 0.128 0.000 0.038
Sc1 0.000 0.000 0.500
Be1 0.173 0.500 0.477
S1 0.032 0.500 0.276
S2 0.205 0.000 0.649
```

## Properties
The formation energy (no corrections) comes out at -1.211 eV per atom. The value obtained for the total energy is -86.77 eV for the cell shown. For the density of states at the Fermi level, the calculation gives 6.73 states/eV/cell.